Crystalline Ba3Ga4Hg4 at its relaxed geometry. Source: Alexandria, functional PBE.

abc: 4.7495 4.7731 14.6757
angles: 80.61 80.74 89.88
Last column: nearest neighbours and their distance in Å.
Fractional positions:
1 Ba 0.1530 0.6528 0.6939  6 Hg 3.58-3.71, 8 Ga 3.65-3.71
2 Ba 0.8470 0.3472 0.3061  6 Hg 3.58-3.71, 8 Ga 3.65-3.71
3 Ba 0.0000 0.0000 0.0000  8 Hg 3.69-3.70, 4 Ga 3.70-3.71
4 Ga 0.5968 0.1000 0.8011  3 Hg 2.72-2.76
5 Ga 0.2482 0.2498 0.5004  4 Hg 2.83-2.85
6 Ga 0.7518 0.7503 0.4996  4 Hg 2.83-2.85
7 Ga 0.4032 0.9000 0.1989  3 Hg 2.72-2.76
8 Hg 0.5541 0.5537 0.8933  2 Ga 2.72-2.73, 1 Hg 3.05
9 Hg 0.4459 0.4463 0.1067  2 Ga 2.72-2.73, 1 Hg 3.05
10 Hg 0.3051 0.8042 0.3921  5 Ga 2.76-2.85
11 Hg 0.6949 0.1959 0.6079  5 Ga 2.76-2.85

Properties
Magnetic moment in μB/f.u.: 0.00
Energy of formation in eV/atom: -0.394


Crystalline Sr3ZrU3As8 at its relaxed geometry. Source: Alexandria, functional PBE.

abc: 8.2794 8.2796 8.6407
angles: 118.63 90.00 120.00
Last column: nearest neighbours and their distance in Å.
Fractional positions:
1 Sr 0.0000 0.0000 0.0000  6 As 3.13-3.18
2 Sr 0.0000 0.5000 0.0000  6 As 3.13-3.18
3 Sr 0.5000 0.5000 0.0000  6 As 3.13-3.18
4 Zr 0.0000 0.0000 0.5000  6 As 2.80
5 U 0.5000 0.0000 0.5000  6 As 2.83-2.86
6 U 0.5000 0.5000 0.5000  6 As 2.83-2.86
7 U 0.0000 0.5000 0.5000  6 As 2.83-2.86
8 As 0.2604 0.5208 0.2812  3 U 2.86, 3 Sr 3.13
9 As 0.7396 0.4792 0.7188  3 U 2.86, 3 Sr 3.13
10 As 0.7653 0.5306 0.2919  1 Zr 2.80, 2 U 2.83
11 As 0.2347 0.4694 0.7081  1 Zr 2.80, 2 U 2.83
12 As 0.7653 0.0266 0.2919  1 Zr 2.80, 2 U 2.83
13 As 0.2347 0.9734 0.7081  1 Zr 2.80, 2 U 2.83
14 As 0.2613 0.0266 0.2919  1 Zr 2.80, 2 U 2.83
15 As 0.7387 0.9734 0.7081  1 Zr 2.80, 2 U 2.83

Properties
Magnetic moment in μB/f.u.: 3.99
Energy of formation in eV/atom: -0.848


Crystalline Nd2SmCd2 at its relaxed geometry. Source: Alexandria, functional PBE.

abc: 3.8136 5.4909 14.2986
angles: 90.00 97.68 90.00
Last column: nearest neighbours and their distance in Å.
Fractional positions:
1 Nd 0.0450 0.7500 0.0888  8 Cd 3.30-3.38
2 Nd 0.9550 0.2500 0.9112  8 Cd 3.30-3.38
3 Nd 0.2340 0.7500 0.4702  2 Cd 3.31, 4 Nd 3.44-3.45, 2 Sm 3.69
4 Nd 0.7660 0.2500 0.5298  2 Cd 3.31, 4 Nd 3.44-3.45, 2 Sm 3.69
5 Sm 0.8509 0.7500 0.7036  6 Cd 3.28-3.35
6 Sm 0.1491 0.2500 0.2964  6 Cd 3.28-3.35
7 Cd 0.6395 0.7500 0.2791  4 Nd 3.30-3.31, 4 Sm 3.35, 2 Cd 3.66
8 Cd 0.3605 0.2500 0.7209  4 Nd 3.30-3.31, 4 Sm 3.35, 2 Cd 3.66
9 Cd 0.4453 0.7500 0.8919  2 Sm 3.28, 6 Nd 3.35-3.38, 2 Cd 3.66
10 Cd 0.5547 0.2500 0.1081  2 Sm 3.28, 6 Nd 3.35-3.38, 2 Cd 3.66

Properties
Magnetic moment in μB/f.u.: 0.19
Energy of formation in eV/atom: -0.251
Energy above the lowest structure with this stoichiometry in meV/atom: 0